The following is a DFT calculation (GGA-PBE) of a relaxed structure of Tm4BiSbC.

Results
The space group is No. 63. As for the formation energy (no corrections): -696 meV per atom. The value obtained for the total magnetization is 0.0 μB/cell.

abc: 6.717 6.732 8.504
angles: 90.00 113.26 90.00
Element x y z (fractional)
Sb 0.108 0.250 0.216
Sb 0.892 0.750 0.784
Tm 0.000 0.000 0.500
Tm 0.500 0.000 0.500
Tm 0.598 0.250 0.196
Tm 0.094 0.750 0.189
Tm 0.906 0.250 0.811
Tm 0.500 0.500 0.500
Tm 0.000 0.500 0.500
Tm 0.402 0.750 0.804
Bi 0.604 0.750 0.208
Bi 0.396 0.250 0.792
C 0.249 0.750 0.498
C 0.751 0.250 0.502